A plane-wave DFT calculation with PBE+U was carried out for a relaxed structure of PuNi2TeO6.

Cell: 6.0460 6.0460 4.0493 Å, 90.00 90.00 90.00°
Sites, in units of the cell vectors:
Pu1 0.0000 0.0000 0.0000
Ni1 0.0000 0.5000 0.0021
Ni2 0.5000 0.0000 0.0021
Te1 0.5000 0.5000 0.0001
O1 0.0000 0.0000 0.5001
O2 0.2569 0.2569 0.0006
O3 0.2569 0.7431 0.0006
O4 0.5000 0.5000 0.5003
O5 0.7431 0.2569 0.0006
O6 0.7431 0.7431 0.0006

Summary:
E   -64.6 eV per cell